Computed, not measured: crystalline UAg2Bi2S6 at its relaxed geometry at the PBE-GGA level of DFT.

## Properties
Calculated volume   284 Å³ per cell
Total magnetic moment   1.99 μB/f.u.
N(E_F)   6.7 states/eV/f.u.
Energy   -5.0385 eV per atom

Lattice parameters (Å, degrees): 7.116 7.116 6.585 95.38 95.38 119.99
Fractional coordinates of all 11 atoms:
U1 0.000 0.000 0.000
Ag1 0.119 0.881 0.500
Ag2 0.881 0.119 0.500
Bi1 0.331 0.669 0.000
Bi2 0.669 0.331 0.000
S1 0.035 0.361 0.229
S2 0.271 0.271 0.766
S3 0.361 0.035 0.229
S4 0.639 0.965 0.771
S5 0.729 0.729 0.234
S6 0.965 0.639 0.771